This record from Alexandria via LeMat-Bulk describes an optimized crystal structure of UTlFeO6. The functional is PBE+U.

```
UTlFeO6
1.0
5.316 0.001 -0.009
2.657 4.605 0.011
0.009 -0.017 4.850
O U Tl Fe
6 1 1 1
Direct
0.638 0.347 0.723 O
0.347 0.015 0.723 O
0.638 0.015 0.276 O
0.347 0.638 0.277 O
0.015 0.638 0.723 O
0.015 0.347 0.276 O
0.667 0.667 0.500 U
0.000 0.000 0.000 Tl
0.333 0.333 0.500 Fe
```

Results
- Space-group type: P312, No. 149
- Total energy: -7.178 eV/atom